Below is a geometry-optimized LaBeO3 structure, with properties calculated at the PBE-GGA level.

Values from the calculation:
As for the formation energy without anion corrections: -2.570 eV per atom.

a b c (Å): 3.9416 5.5685 6.6356
angles (deg): 90.00 103.61 90.00
With the nearest neighbours (Å) after each atom.
Atoms (fractional coordinates):
La 0.1812 0.2500 0.3186  7 O 2.41-2.62
La 0.8188 0.7500 0.6814  7 O 2.41-2.62
Be 0.2887 0.2500 0.7839  3 O 1.54
Be 0.7113 0.7500 0.2161  3 O 1.54
O 0.0670 0.2500 0.9461  1 Be 1.54
O 0.3210 0.0133 0.6697  1 Be 1.54
O 0.3210 0.4867 0.6697  1 Be 1.54
O 0.6790 0.5133 0.3303  1 Be 1.54
O 0.6790 0.9867 0.3303  1 Be 1.54
O 0.9330 0.7500 0.0539  1 Be 1.54